Dy6NiAu2: optimized geometry, PBE.

```
Dy6NiAu2
1.0
-5.821 3.198 1.295
-3.667 -5.654 -2.520
-0.226 -3.950 9.190
Dy Ni Au
12 2 4
Direct
0.863 0.979 0.248
0.814 0.685 0.561
0.830 0.687 0.939
0.670 0.187 0.561
0.686 0.185 0.939
0.637 0.479 0.252
0.137 0.021 0.752
0.186 0.315 0.439
0.170 0.313 0.061
0.330 0.813 0.439
0.314 0.815 0.061
0.363 0.521 0.748
0.500 0.500 0.000
0.000 0.000 0.500
0.949 0.392 0.752
0.551 0.892 0.748
0.449 0.108 0.252
0.051 0.608 0.248
```

Calculated values
As for the space-group type: No. 14.



Dy6NiAu: optimized geometry, PBE.

```
Dy6NiAu
1.0
-4.127 4.716 2.342
-6.535 -1.293 0.646
-2.568 -0.908 6.849
Dy Ni Au
6 1 1
Direct
0.059 0.417 0.758
0.766 0.059 0.758
0.583 0.234 0.242
0.234 0.941 0.242
0.941 0.583 0.242
0.417 0.766 0.758
0.000 0.000 0.000
0.500 0.500 0.500
```

Calculated values
As for the space-group type: No. 148.



Dy2NiAu: optimized geometry, PBE.

```
Dy2NiAu
1.0
3.476 0.000 0.000
0.000 3.476 0.000
0.000 0.000 7.076
Ni Au Dy
1 1 2
Direct
0.500 0.500 0.000
0.500 0.500 0.500
0.000 0.000 0.766
0.000 0.000 0.234
```

Calculated values
As for the space-group type: No. 123.



Dy2NiAu: optimized geometry, PBE.

```
Dy2NiAu
1.0
3.979 0.000 0.000
1.990 3.446 0.000
1.990 1.149 6.919
Ni Au Dy
1 1 2
Direct
0.000 0.000 0.000
0.500 0.500 0.500
0.741 0.741 0.777
0.259 0.259 0.223
```

Calculated values
As for the space-group type: No. 166.



Dy12Ni6Au: optimized geometry, PBE.

```
Dy12Ni6Au
1.0
7.851 0.000 -2.776
-3.926 6.799 -2.776
0.000 0.000 8.328
Dy Ni Au
12 6 1
Direct
0.301 0.115 0.815
0.301 0.486 0.185
0.699 0.514 0.815
0.699 0.885 0.185
0.115 0.815 0.301
0.486 0.185 0.301
0.514 0.815 0.699
0.885 0.185 0.699
0.815 0.301 0.115
0.185 0.301 0.486
0.815 0.699 0.514
0.185 0.699 0.885
0.375 0.500 0.875
0.625 0.500 0.125
0.500 0.875 0.375
0.500 0.125 0.625
0.875 0.375 0.500
0.125 0.625 0.500
0.000 0.000 0.000
```

Calculated values
As for the polymorph energy (0 for the lowest one): 0.0 meV/atom. As for the space-group type: No. 204.



DyNi5Au: optimized geometry, PBE.

```
DyNi5Au
1.0
4.846 0.000 0.000
0.000 7.977 0.000
0.000 0.000 10.190
Dy Ni Au
4 20 4
Direct
0.250 0.243 0.940
0.750 0.257 0.440
0.250 0.743 0.560
0.750 0.757 0.060
0.250 0.590 0.019
0.750 0.910 0.519
0.250 0.090 0.481
0.750 0.410 0.981
0.750 0.313 0.756
0.250 0.187 0.256
0.750 0.813 0.744
0.250 0.687 0.244
0.250 0.947 0.109
0.750 0.553 0.609
0.250 0.447 0.391
0.750 0.053 0.891
0.999 0.432 0.185
0.001 0.068 0.685
0.501 0.932 0.315
0.499 0.568 0.815
0.001 0.568 0.815
0.999 0.932 0.315
0.499 0.068 0.685
0.501 0.432 0.185
0.250 0.864 0.862
0.750 0.636 0.362
0.250 0.364 0.638
0.750 0.136 0.138
```

Calculated values
As for the space-group type: No. 62.



Dy4NiAu3: optimized geometry, PBE.

```
Dy4NiAu3
1.0
3.746 0.000 0.000
0.000 4.628 0.000
0.000 0.000 10.690
Ni Au Dy
1 3 4
Direct
0.500 0.500 0.081
0.000 0.500 0.589
0.000 0.000 0.411
0.500 0.000 0.921
0.500 0.500 0.347
0.000 0.500 0.873
0.000 0.000 0.136
0.500 0.000 0.641
```

Calculated values
As for the space-group type: No. 25.



Dy12Ni6Au: optimized geometry, PBE.

```
Dy12Ni6Au
1.0
8.164 -0.326 -0.390
-1.560 8.021 -0.390
-1.560 -1.817 7.822
Dy Ni Au
12 6 1
Direct
0.828 0.588 0.442
0.442 0.828 0.588
0.588 0.442 0.828
0.172 0.412 0.558
0.558 0.172 0.412
0.412 0.558 0.172
0.079 0.928 0.332
0.072 0.668 0.921
0.668 0.921 0.072
0.921 0.072 0.668
0.928 0.332 0.079
0.332 0.079 0.928
0.686 0.856 0.383
0.617 0.314 0.144
0.144 0.617 0.314
0.314 0.144 0.617
0.383 0.686 0.856
0.856 0.383 0.686
0.000 0.000 0.000
```

Calculated values
As for the polymorph energy (0 for the lowest one): 160.9 meV/atom. As for the space-group type: No. 148.



| no. | D(E_F) (states/eV/f.u.) | formation energy (eV/atom) | VASP energy (eV/atom) |
| --- | --- | --- | --- |
| 1 | 9.6 | -0.4494 | -4.89 |
| 2 | 10.9 | -0.1549 | -4.74 |
| 3 | 4.3 | -0.6112 | -5.18 |
| 4 | 2.1 | -0.5119 | -5.08 |
| 5 | 23.1 | -0.3729 | -5.28 |
| 6 | 9.1 | -0.2820 | -5.54 |
| 7 | 3.9 | -0.7661 | -5.02 |
| 8 | 19.3 | -0.2120 | -5.12 |